Record 1
Material: NaAcAl2Au4
Method: DFT, PBE
State: relaxed

```
data_NaAcAl2Au4
_symmetry_space_group_name_H-M 'P 1'
_symmetry_Int_Tables_number 1
_cell_length_a 10.6453
_cell_length_b 10.6453
_cell_length_c 10.6453
_cell_angle_alpha 24.41
_cell_angle_beta 24.41
_cell_angle_gamma 24.41
loop_
_symmetry_equiv_pos_as_xyz
'x,y,z'
loop_
_atom_site_label
_atom_site_type_symbol
_atom_site_fract_x
_atom_site_fract_y
_atom_site_fract_z
Na1 Na 0.0000 0.0000 0.0000
Ac1 Ac 0.5000 0.5000 0.5000
Al1 Al 0.2573 0.2573 0.2573
Al2 Al 0.7427 0.7427 0.7427
Au1 Au 0.1012 0.1012 0.1012
Au2 Au 0.3900 0.3900 0.3900
Au3 Au 0.6100 0.6100 0.6100
Au4 Au 0.8988 0.8988 0.8988
```

Properties
The density of states at the Fermi level comes out at 4.89 states/eV per cell. The calculation puts the energy of formation at -0.51 eV per atom. The value obtained for the total magnetization is 0.000 μB/atom.

***

Record 2
Material: Pr5HgRh2
Method: DFT, PBE
State: relaxed

```
data_Pr5HgRh2
_symmetry_space_group_name_H-M 'P 1'
_symmetry_Int_Tables_number 1
_cell_length_a 7.2001
_cell_length_b 7.2001
_cell_length_c 14.5676
_cell_angle_alpha 90.00
_cell_angle_beta 90.00
_cell_angle_gamma 131.79
loop_
_symmetry_equiv_pos_as_xyz
'x,y,z'
loop_
_atom_site_label
_atom_site_type_symbol
_atom_site_fract_x
_atom_site_fract_y
_atom_site_fract_z
Pr1 Pr 0.0524 0.9476 0.6138
Pr2 Pr 0.0524 0.9476 0.8862
Pr3 Pr 0.2183 0.7817 0.2500
Pr4 Pr 0.3404 0.6596 0.5490
Pr5 Pr 0.3404 0.6596 0.9510
Pr6 Pr 0.6596 0.3404 0.0490
Pr7 Pr 0.6596 0.3404 0.4510
Pr8 Pr 0.7817 0.2183 0.7500
Pr9 Pr 0.9476 0.0524 0.1138
Pr10 Pr 0.9476 0.0524 0.3862
Hg1 Hg 0.2370 0.7630 0.7500
Hg2 Hg 0.7630 0.2370 0.2500
Rh1 Rh 0.1509 0.8491 0.0563
Rh2 Rh 0.1509 0.8491 0.4437
Rh3 Rh 0.8491 0.1509 0.5563
Rh4 Rh 0.8491 0.1509 0.9437
```

Properties
The density of states at the Fermi level comes out at 14.89 states/eV per cell. The calculation puts the energy of formation at -0.28 eV per atom. The value obtained for the total magnetization is 0.000 μB/atom.

***

Record 3
Material: Y4Ni3Ru
Method: DFT, PBE
State: relaxed

```
data_Y4Ni3Ru
_symmetry_space_group_name_H-M 'P 1'
_symmetry_Int_Tables_number 1
_cell_length_a 3.3911
_cell_length_b 3.3911
_cell_length_c 13.6468
_cell_angle_alpha 90.00
_cell_angle_beta 90.00
_cell_angle_gamma 90.00
loop_
_symmetry_equiv_pos_as_xyz
'x,y,z'
loop_
_atom_site_label
_atom_site_type_symbol
_atom_site_fract_x
_atom_site_fract_y
_atom_site_fract_z
Y1 Y 0.0000 0.0000 0.1242
Y2 Y 0.0000 0.0000 0.3759
Y3 Y 0.0000 0.0000 0.6241
Y4 Y 0.0000 0.0000 0.8758
Ni1 Ni 0.5000 0.5000 0.0000
Ni2 Ni 0.5000 0.5000 0.2472
Ni3 Ni 0.5000 0.5000 0.7528
Ru1 Ru 0.5000 0.5000 0.5000
```

Properties
The density of states at the Fermi level comes out at 3.01 states/eV per cell. The calculation puts the energy of formation at -0.38 eV per atom. The value obtained for the total magnetization is 0.000 μB/atom.

***

Record 4
Material: Pa2FeSe
Method: DFT, PBE
State: relaxed

```
data_Pa2FeSe
_symmetry_space_group_name_H-M 'P 1'
_symmetry_Int_Tables_number 1
_cell_length_a 7.5495
_cell_length_b 7.5495
_cell_length_c 7.5495
_cell_angle_alpha 29.00
_cell_angle_beta 29.00
_cell_angle_gamma 29.00
loop_
_symmetry_equiv_pos_as_xyz
'x,y,z'
loop_
_atom_site_label
_atom_site_type_symbol
_atom_site_fract_x
_atom_site_fract_y
_atom_site_fract_z
Pa1 Pa 0.0000 0.0000 0.0000
Pa2 Pa 0.1957 0.1957 0.1957
Fe1 Fe 0.5945 0.5945 0.5945
Se1 Se 0.7649 0.7649 0.7649
```

Properties
The density of states at the Fermi level comes out at 4.24 states/eV per cell. The uncorrected formation energy comes out at -0.628 eV per atom. The value obtained for the total magnetization is 0.000 μB/atom.

***

Record 5
Material: TcAgRu2
Method: DFT, PBE
State: relaxed

```
data_TcAgRu2
_symmetry_space_group_name_H-M 'P 1'
_symmetry_Int_Tables_number 1
_cell_length_a 2.6955
_cell_length_b 2.6955
_cell_length_c 9.4265
_cell_angle_alpha 90.00
_cell_angle_beta 90.00
_cell_angle_gamma 116.66
loop_
_symmetry_equiv_pos_as_xyz
'x,y,z'
loop_
_atom_site_label
_atom_site_type_symbol
_atom_site_fract_x
_atom_site_fract_y
_atom_site_fract_z
Tc1 Tc 0.0000 0.0000 0.0000
Ag1 Ag 0.0000 0.0000 0.5000
Ru1 Ru 0.5000 0.5000 0.2336
Ru2 Ru 0.5000 0.5000 0.7664
```

Properties
The density of states at the Fermi level comes out at 4.91 states/eV per cell. The calculation puts the energy of formation at 0.45 eV per atom. The value obtained for the total magnetization is 0.000 μB/atom.

***

Record 6
Material: Rb2LiPtBr6
Method: DFT, PBE
State: relaxed

```
data_Rb2LiPtBr6
_symmetry_space_group_name_H-M 'P 1'
_symmetry_Int_Tables_number 1
_cell_length_a 13.5954
_cell_length_b 13.5954
_cell_length_c 13.5954
_cell_angle_alpha 31.92
_cell_angle_beta 31.92
_cell_angle_gamma 31.92
loop_
_symmetry_equiv_pos_as_xyz
'x,y,z'
loop_
_atom_site_label
_atom_site_type_symbol
_atom_site_fract_x
_atom_site_fract_y
_atom_site_fract_z
Rb1 Rb 0.1214 0.1214 0.1214
Rb2 Rb 0.2985 0.2985 0.2985
Rb3 Rb 0.7015 0.7015 0.7015
Rb4 Rb 0.8786 0.8786 0.8786
Li1 Li 0.4206 0.4206 0.4206
Li2 Li 0.5794 0.5794 0.5794
Pt1 Pt 0.0000 0.0000 0.0000
Pt2 Pt 0.5000 0.5000 0.5000
Br1 Br 0.1355 0.6242 0.6242
Br2 Br 0.2018 0.2018 0.7127
Br3 Br 0.2018 0.7127 0.2018
Br4 Br 0.2873 0.7982 0.7982
Br5 Br 0.3758 0.3758 0.8645
Br6 Br 0.3758 0.8645 0.3758
Br7 Br 0.6242 0.1355 0.6242
Br8 Br 0.6242 0.6242 0.1355
Br9 Br 0.7127 0.2018 0.2018
Br10 Br 0.7982 0.2873 0.7982
Br11 Br 0.7982 0.7982 0.2873
Br12 Br 0.8645 0.3758 0.3758
```

Properties
The density of states at the Fermi level comes out at 9.41 states/eV per cell. The uncorrected formation energy comes out at -1.075 eV per atom. The value obtained for the total magnetization is 0.000 μB/atom.

***

Record 7
Material: ScBeTl
Method: DFT, PBE
State: relaxed

```
data_ScBeTl
_symmetry_space_group_name_H-M 'P 1'
_symmetry_Int_Tables_number 1
_cell_length_a 5.5511
_cell_length_b 5.5511
_cell_length_c 5.5511
_cell_angle_alpha 134.15
_cell_angle_beta 103.23
_cell_angle_gamma 94.28
loop_
_symmetry_equiv_pos_as_xyz
'x,y,z'
loop_
_atom_site_label
_atom_site_type_symbol
_atom_site_fract_x
_atom_site_fract_y
_atom_site_fract_z
Sc1 Sc 0.0000 0.0000 0.0000
Sc2 Sc 0.5124 0.0124 0.5000
Be1 Be 0.4954 0.6753 0.8200
Be2 Be 0.8553 0.6753 0.1800
Tl1 Tl 0.1013 0.3384 0.7629
Tl2 Tl 0.5755 0.3384 0.2371
```

Properties
The density of states at the Fermi level comes out at 2.99 states/eV per cell. The calculation puts the energy of formation at -0.06 eV per atom. The value obtained for the total magnetization is 0.000 μB/atom.

***

Record 8
Material: SmEr5
Method: DFT, PBE
State: relaxed

```
data_SmEr5
_symmetry_space_group_name_H-M 'P 1'
_symmetry_Int_Tables_number 1
_cell_length_a 6.1070
_cell_length_b 10.5551
_cell_length_c 6.1071
_cell_angle_alpha 90.00
_cell_angle_beta 109.40
_cell_angle_gamma 90.00
loop_
_symmetry_equiv_pos_as_xyz
'x,y,z'
loop_
_atom_site_label
_atom_site_type_symbol
_atom_site_fract_x
_atom_site_fract_y
_atom_site_fract_z
Sm1 Sm 0.0004 0.2500 0.2503
Sm2 Sm 0.9996 0.7500 0.7497
Er1 Er 0.0002 0.0830 0.7501
Er2 Er 0.0002 0.4170 0.7501
Er3 Er 0.9998 0.5830 0.2499
Er4 Er 0.9998 0.9170 0.2499
Er5 Er 0.5002 0.0829 0.2502
Er6 Er 0.5005 0.2500 0.7504
Er7 Er 0.5002 0.4171 0.2502
Er8 Er 0.4998 0.5829 0.7498
Er9 Er 0.4995 0.7500 0.2496
Er10 Er 0.4998 0.9171 0.7498
```

Properties
The density of states at the Fermi level comes out at 15.84 states/eV per cell. The calculation puts the energy of formation at 0.02 eV per atom. The value obtained for the total magnetization is 0.000 μB/atom.

***

Record 9
Material: YN2F
Method: DFT, PBE
State: relaxed

```
data_YN2F
_symmetry_space_group_name_H-M 'P 1'
_symmetry_Int_Tables_number 1
_cell_length_a 5.8463
_cell_length_b 5.8463
_cell_length_c 5.8463
_cell_angle_alpha 37.99
_cell_angle_beta 37.99
_cell_angle_gamma 37.99
loop_
_symmetry_equiv_pos_as_xyz
'x,y,z'
loop_
_atom_site_label
_atom_site_type_symbol
_atom_site_fract_x
_atom_site_fract_y
_atom_site_fract_z
Y1 Y 0.0000 0.0000 0.0000
N1 N 0.3873 0.3873 0.3873
N2 N 0.6127 0.6127 0.6127
F1 F 0.5000 0.5000 0.5000
```

Properties
The density of states at the Fermi level comes out at 0.97 states/eV per cell. The uncorrected formation energy comes out at 0.097 eV per atom. The value obtained for the total magnetization is 0.500 μB/atom.

***

Record 10
Material: Ba2SrHgP
Method: DFT, PBE
State: relaxed

```
data_Ba2SrHgP
_symmetry_space_group_name_H-M 'P 1'
_symmetry_Int_Tables_number 1
_cell_length_a 6.2708
_cell_length_b 6.2708
_cell_length_c 5.8327
_cell_angle_alpha 90.00
_cell_angle_beta 90.00
_cell_angle_gamma 90.00
loop_
_symmetry_equiv_pos_as_xyz
'x,y,z'
loop_
_atom_site_label
_atom_site_type_symbol
_atom_site_fract_x
_atom_site_fract_y
_atom_site_fract_z
Ba1 Ba 0.0000 0.5000 0.0000
Ba2 Ba 0.5000 0.0000 0.0000
Sr1 Sr 0.0000 0.0000 0.5000
Hg1 Hg 0.5000 0.5000 0.5000
P1 P 0.0000 0.0000 0.0000
```

Properties
The density of states at the Fermi level comes out at 5.44 states/eV per cell. The calculation puts the energy of formation at -0.54 eV per atom. The value obtained for the total magnetization is 0.001 μB/atom.

***

Copy entry 3 word for word.
Material: Y4Ni3Ru
Method: DFT, PBE
State: relaxed

```
data_Y4Ni3Ru
_symmetry_space_group_name_H-M 'P 1'
_symmetry_Int_Tables_number 1
_cell_length_a 3.3911
_cell_length_b 3.3911
_cell_length_c 13.6468
_cell_angle_alpha 90.00
_cell_angle_beta 90.00
_cell_angle_gamma 90.00
loop_
_symmetry_equiv_pos_as_xyz
'x,y,z'
loop_
_atom_site_label
_atom_site_type_symbol
_atom_site_fract_x
_atom_site_fract_y
_atom_site_fract_z
Y1 Y 0.0000 0.0000 0.1242
Y2 Y 0.0000 0.0000 0.3759
Y3 Y 0.0000 0.0000 0.6241
Y4 Y 0.0000 0.0000 0.8758
Ni1 Ni 0.5000 0.5000 0.0000
Ni2 Ni 0.5000 0.5000 0.2472
Ni3 Ni 0.5000 0.5000 0.7528
Ru1 Ru 0.5000 0.5000 0.5000
```

Properties
The density of states at the Fermi level comes out at 3.01 states/eV per cell. The calculation puts the energy of formation at -0.38 eV per atom. The value obtained for the total magnetization is 0.000 μB/atom.